A plane-wave DFT calculation with PBE-GGA was carried out for a relaxed structure of NaTaAlTc2.

total moment	2.850	μB/f.u.
formation energy	1273	meV per atom

Cell: 4.8015 4.8015 5.1917 Å, 90.00 90.00 90.00°
Fractional coordinates of all 5 atoms:
Na 0.0000 0.0000 0.0000
Ta 0.5000 0.5000 0.5000
Al 0.5000 0.5000 0.0000
Tc 0.0000 0.5000 0.5000
Tc 0.5000 0.0000 0.5000